MnPb2Cl after structural relaxation. Source: Alexandria, functional GGA-PBE.

Cell lengths 4.1681, 4.1681, 12.5553 Å; angles 90.00, 90.00, 90.00 degrees
Space group I-4m2 (No. 119)
Asymmetric unit:
Mn1 0.0000 0.0000 0.0000 [2 per cell]
Pb1 0.0000 0.0000 0.5000 [2 per cell]
Pb2 0.0000 0.5000 0.7500 [2 per cell]
Cl1 0.0000 0.5000 0.2500 [2 per cell]

Values from the calculation:
The theoretical density is 7.69 g cm⁻³. For the uncorrected formation energy, the calculation gives 0.159 eV/atom. The density of states at the Fermi level comes out at 0.43 states/eV/atom. The calculation puts the polymorph energy (0 for the lowest one) at 260 meV per atom. As for the energy: -35.6 eV per cell.